First-principles (PBE) data for CdBi2S4 after structural relaxation, as listed in Alexandria via LeMat-Bulk.

a b c (Å): 6.3678 6.3678 11.0204
angles (deg): 90.00 90.00 90.00
Space group I-42m (No. 121)
Asymmetric unit:
Cd (0.0000, 0.0000, 0.0000)
Bi (0.0000, 0.5000, 0.2500)
S (0.2489, 0.2489, 0.6103)

Results
Offset from the most stable computed form (meV per atom): 170
Calculated total energy (eV per atom): -3.845
Size of the total moment (μB/f.u.): 0.0
ΔE_f (raw) (eV/atom): -0.2471